Computed, not measured: a relaxed CaLaTl crystal at the GGA-PBE level of DFT.

Results
Electronic total energy, eV per formula unit: -9.926
Space-group type: Imma
M_tot, μB/cell: 0.00
Formation energy from the elements, meV per atom: -210

Unit cell a=6.5740 b=6.5740 c=6.5740 alpha=114.66 beta=114.66 gamma=99.53
Fractional coordinates of all 6 atoms:
1 Ca 0.3484 0.0984 0.2500
2 Ca 0.6516 0.9016 0.7500
3 La 0.0000 0.5000 0.5000
4 La 0.5000 0.5000 0.0000
5 Tl 0.0000 0.0000 0.5000
6 Tl 0.0000 0.5000 0.0000